## GePO5 (PBE)

Data for a relaxed structure of GePO5.

Cell: 10.8620 5.1314 6.4602 Å, 90.00 90.00 90.00°
With the nearest neighbours (Å) after each atom.
Space group Pnma (No. 62)
Asymmetric unit:
1 Ge 0.0622 0.2500 0.1821 (multiplicity 4)  6 O 1.86-1.88
2 P 0.1574 0.7500 0.4788 (multiplicity 4)  4 O 1.53-1.55
3 O 0.0000 0.0000 0.0000 (multiplicity 4)  2 Ge 1.87
4 O 0.0945 0.7500 0.6938 (multiplicity 4)  1 P 1.55
5 O 0.1245 0.5025 0.3601 (multiplicity 8)  1 P 1.53
6 O 0.2020 0.2500 0.0113 (multiplicity 4)  1 P 1.54

Properties
- Density: 3.39 g/cm3
- Raw formation energy: -1553 meV per atom

## BaLiTl2 (PBE)

Data for a relaxed structure of BaLiTl2.

Cell: 5.4599 5.4599 19.8488 Å, 90.00 90.00 90.00°
With the nearest neighbours (Å) after each atom.
Space group I-42d (No. 122)
Asymmetric unit:
1 Ba 0.0000 0.0000 0.0000 (multiplicity 4)  4 Tl 3.55, 4 Li 3.86
2 Li 0.0000 0.0000 0.5000 (multiplicity 4)  4 Tl 2.89
3 Tl 0.1083 0.2500 0.6250 (multiplicity 8)  2 Li 2.89, 2 Tl 2.98

Properties
- Density: 6.21 g/cm3
- Energy of formation: -0.13 eV per atom

## TmSc4As5 (PBE)

Data for a relaxed structure of TmSc4As5.

Cell: 3.9167 5.5499 19.5718 Å, 90.00 90.00 90.00°
With the nearest neighbours (Å) after each atom.
Space group Immm (No. 71)
Asymmetric unit:
1 Tm 0.0000 0.0000 0.0000 (multiplicity 2)  6 As 2.77-2.83
2 Sc 0.0000 0.0000 0.2020 (multiplicity 4)  6 As 2.74-2.78
3 Sc 0.0000 0.0000 0.3993 (multiplicity 4)  6 As 2.75-2.78
4 As 0.0000 0.5000 0.0000 (multiplicity 2)  2 Tm 2.77, 4 Sc 2.78
5 As 0.0000 0.5000 0.1995 (multiplicity 4)  6 Sc 2.75-2.78
6 As 0.0000 0.5000 0.3956 (multiplicity 4)  4 Sc 2.74-2.78, 2 Tm 2.83

Properties
- Density: 5.65 g/cm3
- Energy of formation: -1.39 eV per atom

## CsCr3Ni (PBE)

Data for a relaxed structure of CsCr3Ni.

Cell: 4.9502 4.9502 4.9502 Å, 90.00 90.00 90.00°
With the nearest neighbours (Å) after each atom.
Space group Pm-3m (No. 221)
Asymmetric unit:
1 Cs 0.0000 0.0000 0.0000 (multiplicity 1)  12 Cr 3.50
2 Cr 0.0000 0.5000 0.5000 (multiplicity 3)  2 Ni 2.48
3 Ni 0.5000 0.5000 0.5000 (multiplicity 1)  6 Cr 2.48

Properties
- Density: 4.76 g/cm3
- Energy of formation: 1.30 eV per atom

## AlSbTe2 (PBE)

Data for a relaxed structure of AlSbTe2.

Cell: 3.8776 4.9917 11.3988 Å, 90.00 90.00 90.00°
With the nearest neighbours (Å) after each atom.
Space group Cmm2 (No. 35)
Asymmetric unit:
1 Al 0.0000 0.0000 0.0000 (multiplicity 2)  2 Sb 2.91, 2 Te 3.03, 4 Al 3.16
2 Sb 0.0000 0.5000 0.8097 (multiplicity 2)  2 Al 2.91, 4 Sb 3.16
3 Te 0.0000 0.0000 0.5164 (multiplicity 2)  4 Te 3.16
4 Te 0.0000 0.5000 0.2039 (multiplicity 2)  2 Al 3.03, 4 Te 3.16

Properties
- Density: 6.08 g/cm3
- Raw formation energy: 195 meV per atom

## Ba2TlPd4Pb3 (PBE)

Data for a relaxed structure of Ba2TlPd4Pb3.

Cell: 4.9821 4.9821 10.7994 Å, 90.00 90.00 90.00°
With the nearest neighbours (Å) after each atom.
Space group P-4m2 (No. 115)
Asymmetric unit:
1 Ba 0.0000 0.5000 0.2431 (multiplicity 2)  8 Pd 3.62-3.78, 2 Tl 3.73, 7 Pb 3.73-3.86
2 Tl 0.0000 0.0000 0.5000 (multiplicity 1)  4 Pd 2.86
3 Pd 0.0000 0.0000 0.0000 (multiplicity 1)  4 Pb 2.78
4 Pd 0.0000 0.5000 0.6296 (multiplicity 2)  3 Pb 2.76-2.86, 2 Tl 2.86
5 Pd 0.5000 0.5000 0.0000 (multiplicity 1)  4 Pb 2.78
6 Pb 0.0000 0.5000 0.8852 (multiplicity 2)  5 Pd 2.76-2.78
7 Pb 0.5000 0.5000 0.5000 (multiplicity 1)  4 Pd 2.86

Properties
- Density: 9.46 g/cm3
- Energy of formation: -0.48 eV per atom

## Ta2CuAg (PBE)

Data for a relaxed structure of Ta2CuAg.

Cell: 9.3691 2.9266 5.0354 Å, 90.00 103.02 90.00°
With the nearest neighbours (Å) after each atom.
Space group Cm (No. 8)
Asymmetric unit:
1 Ta 0.0000 0.0000 0.0000 (multiplicity 2)  5 Ta 2.80-2.93, 3 Ag 2.88-2.91, 4 Cu 2.89-2.94
2 Ta 0.2502 0.0000 0.7517 (multiplicity 2)  3 Cu 2.75-2.93, 5 Ta 2.80-2.93, 4 Ag 2.85-2.98
3 Cu 0.0068 0.5000 0.5090 (multiplicity 2)  7 Ta 2.75-2.94, 3 Ag 2.77-2.89, 2 Cu 2.93
4 Ag 0.2602 0.5000 0.2712 (multiplicity 2)  3 Cu 2.77-2.89, 7 Ta 2.85-2.98, 2 Ag 2.93

Properties
- Density: 13.17 g/cm3
- Energy of formation: 0.30 eV per atom

## Mn2HAu (PBE)

Data for a relaxed structure of Mn2HAu.

Cell: 7.4655 7.4655 7.4655 Å, 90.00 90.00 90.00°
With the nearest neighbours (Å) after each atom.
Space group Fd-3m (No. 227, origin choice 2)
Asymmetric unit:
1 Mn 0.0000 0.0000 0.0000 (multiplicity 16)  2 H 1.62
2 H 0.1250 0.1250 0.1250 (multiplicity 8)  4 Mn 1.62
3 Au 0.1250 0.1250 0.6250 (multiplicity 8)  12 Mn 3.10, 4 H 3.23, 4 Au 3.23

Properties
- Density: 9.83 g/cm3
- Uncorrected energy: -5.94 eV per atom

## Th3CdTc (PBE)

Data for a relaxed structure of Th3CdTc.

Cell: 5.4229 5.4229 5.4229 Å, 90.00 90.00 90.00°
With the nearest neighbours (Å) after each atom.
Space group Pm-3m (No. 221)
Asymmetric unit:
1 Th 0.0000 0.0000 0.5000 (multiplicity 3)  2 Tc 2.71
2 Cd 0.5000 0.5000 0.5000 (multiplicity 1)  12 Th 3.83
3 Tc 0.0000 0.0000 0.0000 (multiplicity 1)  6 Th 2.71

Properties
- Density: 9.44 g/cm3
- Energy of formation: 0.06 eV per atom

## ZrAl2In2 (PBE)

Data for a relaxed structure of ZrAl2In2.

Cell: 3.7305 3.7305 16.3359 Å, 90.00 90.00 90.00°
With the nearest neighbours (Å) after each atom.
Space group I4/mmm (No. 139)
Asymmetric unit:
1 Zr 0.0000 0.0000 0.0000 (multiplicity 2)  8 In 3.13
2 Al 0.0000 0.5000 0.2500 (multiplicity 4)  4 Al 2.64
3 In 0.0000 0.0000 0.3969 (multiplicity 4)  4 Al 3.04, 4 Zr 3.13, 1 In 3.37

Properties
- Density: 5.48 g/cm3
- Energy of formation: 0.19 eV per atom

## Tb2ZrAg (PBE)

Data for a relaxed structure of Tb2ZrAg.

Cell: 3.2468 3.2468 34.2262 Å, 90.00 90.00 120.00°
With the nearest neighbours (Å) after each atom.
Space group R-3m (No. 166, hexagonal axes)
Asymmetric unit:
1 Tb 0.0000 0.0000 0.0923 (multiplicity 6)  1 Zr 3.16, 3 Ag 3.16, 6 Tb 3.25
2 Zr 0.0000 0.0000 0.0000 (multiplicity 3)  2 Tb 3.16, 6 Zr 3.25
3 Ag 0.0000 0.0000 0.5000 (multiplicity 3)  6 Tb 3.16, 6 Ag 3.25

Properties
- Density: 8.24 g/cm3
- Energy of formation: 0.28 eV per atom

## Ac2Th3Os2 (PBE)

Data for a relaxed structure of Ac2Th3Os2.

Cell: 12.7414 4.0542 9.2029 Å, 90.00 117.15 90.00°
With the nearest neighbours (Å) after each atom.
Space group C2/m (No. 12)
Asymmetric unit:
1 Ac 0.1591 0.0000 0.3021 (multiplicity 4)  3 Os 3.36-3.74, 2 Th 3.75
2 Th 0.0000 0.5000 0.5000 (multiplicity 2)  4 Os 2.97
3 Th 0.1232 0.5000 0.9397 (multiplicity 4)  3 Os 2.82-3.04
4 Os 0.1478 0.0000 0.7441 (multiplicity 4)  5 Th 2.82-3.04

Properties
- Density: 12.02 g/cm3
- Energy of formation: -0.20 eV per atom

## Ni3AgBr (PBE)

Data for a relaxed structure of Ni3AgBr.

Cell: 4.7355 4.7355 4.7355 Å, 90.00 90.00 90.00°
With the nearest neighbours (Å) after each atom.
Space group Pm-3m (No. 221)
Asymmetric unit:
1 Ni 0.0000 0.0000 0.5000 (multiplicity 3)  2 Ag 2.37
2 Ag 0.0000 0.0000 0.0000 (multiplicity 1)  6 Ni 2.37
3 Br 0.5000 0.5000 0.5000 (multiplicity 1)  12 Ni 3.35

Properties
- Density: 5.69 g/cm3
- Raw formation energy: 1330 meV per atom

## ZnOs2Pt (PBE)

Data for a relaxed structure of ZnOs2Pt.

Cell: 2.7764 2.7764 7.6055 Å, 90.00 90.00 90.00°
With the nearest neighbours (Å) after each atom.
Space group P4mm (No. 99)
Asymmetric unit:
1 Zn 0.0000 0.0000 0.0000 (multiplicity 1)  4 Pt 2.74, 4 Os 2.76, 4 Zn 2.78
2 Os 0.0000 0.0000 0.4812 (multiplicity 1)  8 Os 2.61-2.78, 4 Pt 2.83
3 Os 0.5000 0.5000 0.2559 (multiplicity 1)  8 Os 2.61-2.78, 4 Zn 2.76
4 Pt 0.5000 0.5000 0.7492 (multiplicity 1)  4 Zn 2.74, 4 Pt 2.78, 4 Os 2.83

Properties
- Density: 18.15 g/cm3
- Energy of formation: -0.03 eV per atom

## Pu6HgOs (PBE)

Data for a relaxed structure of Pu6HgOs.

Cell: 4.7368 4.7368 8.2693 Å, 90.00 90.00 90.00°
With the nearest neighbours (Å) after each atom.
Space group P4/mmm (No. 123)
Asymmetric unit:
1 Pu 0.0000 0.0000 0.0000 (multiplicity 1)  8 Pu 2.94
2 Pu 0.0000 0.0000 0.5000 (multiplicity 1)  4 Hg 3.35, 8 Pu 3.37
3 Pu 0.0000 0.5000 0.2109 (multiplicity 4)  2 Os 2.94, 2 Pu 2.94
4 Hg 0.5000 0.5000 0.5000 (multiplicity 1)  12 Pu 3.35-3.37
5 Os 0.5000 0.5000 0.0000 (multiplicity 1)  8 Pu 2.94

Properties
- Density: 16.60 g/cm3
- Energy of formation: 0.08 eV per atom

## Tb2InO (PBE)

Data for a relaxed structure of Tb2InO.

Cell: 3.1175 3.1175 7.9779 Å, 90.00 90.00 90.00°
With the nearest neighbours (Å) after each atom.
Space group P4/mmm (No. 123)
Asymmetric unit:
1 Tb 0.0000 0.0000 0.1948 (multiplicity 2)  4 O 2.70
2 In 0.5000 0.5000 0.5000 (multiplicity 1)  4 In 3.12, 8 Tb 3.28
3 O 0.5000 0.5000 0.0000 (multiplicity 1)  8 Tb 2.70

Properties
- Density: 9.61 g/cm3
- Raw formation energy: -1150 meV per atom

## YCu4Ag (PBE)

Data for a relaxed structure of YCu4Ag.

Cell: 7.1718 7.1718 7.1718 Å, 90.00 90.00 90.00°
With the nearest neighbours (Å) after each atom.
Space group F-43m (No. 216)
Asymmetric unit:
1 Y 0.0000 0.0000 0.0000 (multiplicity 4)  12 Cu 2.98, 4 Ag 3.11
2 Cu 0.1240 0.1240 0.3760 (multiplicity 16)  6 Cu 2.52-2.56
3 Ag 0.2500 0.2500 0.7500 (multiplicity 4)  12 Cu 2.97, 4 Y 3.11

Properties
- Density: 8.12 g/cm3
- Energy of formation: -0.22 eV per atom

## BaLi3Br (PBE)

Data for a relaxed structure of BaLi3Br.

Cell: 5.4501 5.4501 5.4501 Å, 90.00 90.00 90.00°
With the nearest neighbours (Å) after each atom.
Space group Pm-3m (No. 221)
Asymmetric unit:
1 Ba 0.0000 0.0000 0.0000 (multiplicity 1)  12 Li 3.85
2 Li 0.0000 0.5000 0.5000 (multiplicity 3)  2 Br 2.73
3 Br 0.5000 0.5000 0.5000 (multiplicity 1)  6 Li 2.73

Properties
- Density: 2.44 g/cm3
- Raw formation energy: -289 meV per atom

## Ba8NaRh4 (PBE)

Data for a relaxed structure of Ba8NaRh4.

Cell: 21.9498 4.5776 14.8013 Å, 90.00 131.23 90.00°
With the nearest neighbours (Å) after each atom.
Space group Cm (No. 8)
Asymmetric unit:
1 Ba 0.0000 0.0000 0.0000 (multiplicity 2)  3 Rh 3.04-3.06
2 Ba 0.0381 0.0000 0.7579 (multiplicity 2)  3 Rh 3.14-3.15
3 Ba 0.0856 0.0000 0.4932 (multiplicity 2)  3 Rh 3.13-3.20
4 Ba 0.1575 0.5000 0.3372 (multiplicity 2)  3 Rh 3.13-3.19
5 Ba 0.2053 0.5000 0.0727 (multiplicity 2)  3 Rh 3.15
6 Ba 0.2432 0.5000 0.8303 (multiplicity 2)  3 Rh 3.04-3.06
7 Ba 0.3313 0.0000 0.6656 (multiplicity 2)  3 Rh 3.06-3.08
8 Ba 0.4118 0.0000 0.1646 (multiplicity 2)  3 Rh 3.06-3.08
9 Na 0.3726 0.0000 0.4165 (multiplicity 2)  10 Ba 4.34-4.65, 2 Na 4.58
10 Rh 0.0143 0.5000 0.8778 (multiplicity 2)  6 Ba 3.06-3.15
11 Rh 0.0289 0.0000 0.2312 (multiplicity 2)  6 Ba 3.04-3.20
12 Rh 0.2141 0.5000 0.5987 (multiplicity 2)  6 Ba 3.04-3.19
13 Rh 0.2291 0.0000 0.9526 (multiplicity 2)  6 Ba 3.06-3.15

Properties
- Density: 4.55 g/cm3
- Energy of formation: -0.13 eV per atom

## ErLuRh (PBE)

Data for a relaxed structure of ErLuRh.

Cell: 3.3915 3.3915 12.3974 Å, 90.00 90.00 90.00°
With the nearest neighbours (Å) after each atom.
Space group I4mm (No. 107)
Asymmetric unit:
1 Er 0.0000 0.0000 0.0000 (multiplicity 2)  4 Rh 2.93
2 Lu 0.0000 0.0000 0.2650 (multiplicity 2)  4 Rh 2.89
3 Rh 0.0000 0.0000 0.6355 (multiplicity 2)  4 Lu 2.89, 4 Er 2.93

Properties
- Density: 10.37 g/cm3
- Energy of formation: -0.62 eV per atom

## MgRhF6 (PBE)

Data for a relaxed structure of MgRhF6.

Cell: 5.0166 8.7406 5.0102 Å, 90.00 103.61 90.00°
With the nearest neighbours (Å) after each atom.
Space group C2/m (No. 12)
Asymmetric unit:
1 Mg 0.0000 0.0000 0.0000 (multiplicity 2)  6 F 2.01-2.03
2 Rh 0.0000 0.5000 0.5000 (multiplicity 2)  6 F 1.93-1.97
3 F 0.2392 0.3558 0.7476 (multiplicity 8)  1 Rh 1.97, 1 Mg 2.03
4 F 0.2500 0.0000 0.7387 (multiplicity 4)  1 Rh 1.93, 1 Mg 2.01

Properties
- Density: 3.75 g/cm3
- Raw formation energy: -2213 meV per atom

## Zn2NiPd5 (PBE)

Data for a relaxed structure of Zn2NiPd5.

Cell: 5.3567 10.3569 4.1958 Å, 90.00 90.00 90.00°
With the nearest neighbours (Å) after each atom.
Space group Pbam (No. 55)
Asymmetric unit:
1 Zn 0.1673 0.1301 0.0000 (multiplicity 4)  8 Pd 2.62-2.71
2 Ni 0.0000 0.5000 0.5000 (multiplicity 2)  8 Pd 2.53-2.68
3 Pd 0.0000 0.0000 0.5000 (multiplicity 2)  4 Zn 2.65, 2 Ni 2.68, 2 Pd 2.81
4 Pd 0.1218 0.7365 0.5000 (multiplicity 4)  1 Ni 2.53, 2 Zn 2.62, 5 Pd 2.69-2.83
5 Pd 0.1719 0.3864 0.0000 (multiplicity 4)  2 Ni 2.58, 4 Zn 2.65-2.71, 2 Pd 2.83

Properties
- Density: 10.30 g/cm3
- Energy of formation: -0.28 eV per atom

## Dy6Y12Er (PBE)

Data for a relaxed structure of Dy6Y12Er.

Cell: 14.6513 14.6513 10.3207 Å, 90.00 90.00 120.00°
With the nearest neighbours (Å) after each atom.
Space group R-3 (No. 148, hexagonal axes)
Asymmetric unit:
1 Dy 0.0525 0.2126 0.2618 (multiplicity 18)  8 Y 3.33-3.63
2 Y 0.0546 0.2555 0.5807 (multiplicity 18)  5 Dy 3.35-3.63, 3 Y 3.35-3.51, 1 Er 3.51
3 Y 0.0658 0.2269 0.9172 (multiplicity 18)  3 Dy 3.33-3.56, 6 Y 3.35-3.51
4 Er 0.0000 0.0000 0.5000 (multiplicity 3)  6 Y 3.51, 6 Dy 3.73

Properties
- Density: 5.74 g/cm3
- Energy of formation: 0.26 eV per atom

## Be4Re (PBE)

Data for a relaxed structure of Be4Re.

Cell: 5.1899 5.1899 5.1899 Å, 90.00 90.00 90.00°
With the nearest neighbours (Å) after each atom.
Space group Im-3m (No. 229)
Asymmetric unit:
1 Be 0.2500 0.2500 0.2500 (multiplicity 8)  2 Re 2.25
2 Re 0.0000 0.0000 0.0000 (multiplicity 2)  8 Be 2.25

Properties
- Density: 5.28 g/cm3
- Energy of formation: 0.90 eV per atom